Compound: ZrCoF3
Source: the Alexandria database
Functional: PBE+U
Structure: relaxed

Properties
- Uncorrected energy: -25.81 eV per cell
- Symmetry: Pm-3m
- Energy above the most stable polymorph in this dataset: 535 meV per atom
- DOS(E_F): 6.08 states/eV per cell
- V: 13.7 A^3/atom

abc: 4.093 4.093 4.093
angles: 90.00 90.00 90.00
Element x y z (fractional)
Co1 0.000 0.000 0.000
Zr1 0.500 0.500 0.500
F1 0.000 0.500 0.000
F2 0.000 0.000 0.500
F3 0.500 0.000 0.000